# In9Hg3Bi2 (PBE-GGA, optimized geometry)
data_In9Hg3Bi2
_chemical_formula_sum 'In18 Hg6 Bi4'
_space_group_name_H-M_alt 'I -4 m 2'
_space_group_IT_number 119
_space_group_name_Hall 'I -4 -2'
_cell_length_a 4.996
_cell_length_b 4.996
_cell_length_c 36.495
_cell_angle_alpha 90.00
_cell_angle_beta 90.00
_cell_angle_gamma 90.00
loop_
_atom_site_label
_atom_site_type_symbol
_atom_site_fract_x
_atom_site_fract_y
_atom_site_fract_z
_atom_site_occupancy
In1 In 0.000 0.000 0.000 1
In2 In 0.000 0.000 0.107 1
In3 In 0.000 0.000 0.202 1
In4 In 0.000 0.000 0.299 1
In5 In 0.000 0.000 0.395 1
Hg1 Hg 0.000 0.500 0.155 1
Hg2 Hg 0.000 0.500 0.750 1
Bi1 Bi 0.000 0.500 0.553 1
# M_tot: 0.0 μB per formula unit
# V: 32.53 Å³/atom
# N(E_F): 7.70 states/eV/f.u.
# energy of formation from the pure elements: 0.0691 eV per atom
# mass density: 7.49 g/cm³